No. 1
The following is a PBE-GGA calculation of a relaxed GdHoPu2 crystal, from Alexandria.

Structure (extended XYZ):
```
4
Lattice="4.832 0.000 0.000 0.000 4.832 0.000 0.000 0.000 5.033" Properties=species:S:1:pos:R:3 pbc="T T T"
Gd 0.000 0.000 0.000
Ho 2.416 2.416 0.000
Pu 0.000 2.416 2.516
Pu 2.416 0.000 2.516
```

Properties
Excess energy over the best structure of this formula in the dataset, meV/atom: 6.4
Electronic total energy, eV for the cell shown: -46.60
SG: P4/mmm, No. 123


No. 2
The following is a PBE-GGA calculation of a relaxed Gd2HoPu crystal, from Alexandria.

Structure (extended XYZ):
```
4
Lattice="3.526 0.000 0.000 0.000 3.526 0.000 0.000 0.000 9.982" Properties=species:S:1:pos:R:3 pbc="T T T"
Gd 0.000 0.000 2.454
Gd 0.000 0.000 7.528
Ho 1.763 1.763 4.991
Pu 1.763 1.763 0.000
```

Properties
Excess energy over the best structure of this formula in the dataset, meV/atom: 0.0
Electronic total energy, eV for the cell shown: -46.63
SG: P4/mmm, No. 123


No. 3
The following is a PBE-GGA calculation of a relaxed GdHoPu2 crystal, from Alexandria.

Structure (extended XYZ):
```
4
Lattice="3.390 0.000 0.000 0.000 3.390 0.000 0.000 0.000 10.049" Properties=species:S:1:pos:R:3 pbc="T T T"
Gd 0.000 0.000 0.000
Ho 0.000 0.000 5.024
Pu 1.695 1.695 2.522
Pu 1.695 1.695 7.527
```

Properties
Excess energy over the best structure of this formula in the dataset, meV/atom: 0.0
Electronic total energy, eV for the cell shown: -46.62
SG: P4/mmm, No. 123


No. 4
The following is a PBE-GGA calculation of a relaxed Gd2HoPu crystal, from Alexandria.

Structure (extended XYZ):
```
4
Lattice="4.945 0.000 0.000 0.000 4.945 0.000 0.000 0.000 4.967" Properties=species:S:1:pos:R:3 pbc="T T T"
Gd 0.000 2.473 0.000
Gd 2.473 0.000 0.000
Ho 0.000 0.000 2.484
Pu 2.473 2.473 2.484
```

Properties
Excess energy over the best structure of this formula in the dataset, meV/atom: 27.4
Electronic total energy, eV for the cell shown: -46.52
SG: P4/mmm, No. 123


No. 5
The following is a PBE-GGA calculation of a relaxed Gd2HoPu crystal, from Alexandria.

Structure (extended XYZ):
```
4
Lattice="1.710 0.987 12.165 -1.710 0.987 12.165 0.000 -1.975 12.165" Properties=species:S:1:pos:R:3 pbc="T T T"
Gd 0.000 0.000 3.322
Gd 0.000 0.000 33.173
Ho 0.000 0.000 0.000
Pu 0.000 0.000 18.247
```

Properties
Excess energy over the best structure of this formula in the dataset, meV/atom: 120.6
Electronic total energy, eV for the cell shown: -46.15
SG: R-3m, No. 166


No. 6
The following is a PBE-GGA calculation of a relaxed GdHoPu2 crystal, from Alexandria.

Structure (extended XYZ):
```
4
Lattice="1.720 0.993 11.345 -1.720 0.993 11.345 0.000 -1.986 11.345" Properties=species:S:1:pos:R:3 pbc="T T T"
Gd 0.000 0.000 0.000
Ho 0.000 0.000 17.017
Pu 0.000 0.000 8.498
Pu 0.000 0.000 25.536
```

Properties
Excess energy over the best structure of this formula in the dataset, meV/atom: 4.2
Electronic total energy, eV for the cell shown: -46.60
SG: R-3m, No. 166


No. 7
The following is a PBE-GGA calculation of a relaxed GdHoPu2 crystal, from Alexandria.

Structure (extended XYZ):
```
4
Lattice="0.000 3.891 3.891 3.891 0.000 3.891 3.891 3.891 0.000" Properties=species:S:1:pos:R:3 pbc="T T T"
Gd 0.000 0.000 0.000
Ho 3.891 3.891 3.891
Pu 1.945 1.945 1.945
Pu 5.836 5.836 5.836
```

Properties
Excess energy over the best structure of this formula in the dataset, meV/atom: 103.9
Electronic total energy, eV for the cell shown: -46.21
SG: Fm-3m, No. 225


No. 8
The following is a PBE-GGA calculation of a relaxed Gd2HoPu crystal, from Alexandria.

Structure (extended XYZ):
```
4
Lattice="0.000 3.961 3.961 3.961 0.000 3.961 3.961 3.961 0.000" Properties=species:S:1:pos:R:3 pbc="T T T"
Gd 1.980 1.980 1.980
Gd 5.941 5.941 5.941
Ho 0.000 0.000 0.000
Pu 3.961 3.961 3.961
```

Properties
Excess energy over the best structure of this formula in the dataset, meV/atom: 69.0
Electronic total energy, eV for the cell shown: -46.35
SG: Fm-3m, No. 225